## i
Crystalline BeSn2Rh2 at its relaxed geometry, computed with PBE.

Geometry as POSCAR:
```
BeSn2Rh2
1.0
-2.046 2.046 5.913
2.046 -2.046 5.913
2.046 2.046 -5.913
Be Sn Rh
1 2 2
direct
0.000 0.000 0.000
0.250 0.750 0.500
0.750 0.250 0.500
0.393 0.393 0.000
0.607 0.607 0.000
```

Properties
Calculated volume = 19.8 Å³/atom
M_tot = 0.00 μB/cell


## ii
Crystalline BeSn2Rh2 at its relaxed geometry, computed with PBE.

Geometry as POSCAR:
```
BeSn2Rh2
1.0
6.405 0.000 0.000
0.000 6.405 0.000
0.000 0.000 4.079
Be Sn Rh
2 4 4
direct
0.000 0.000 0.000
0.500 0.500 0.000
0.160 0.340 0.500
0.340 0.840 0.500
0.660 0.160 0.500
0.840 0.660 0.500
0.158 0.658 0.000
0.342 0.158 0.000
0.658 0.842 0.000
0.842 0.342 0.000
```

Properties
Calculated volume = 16.7 Å³/atom
M_tot = 0.00 μB/cell


The least stable of them is i.


## i
Crystalline Be3SnRh at its relaxed geometry, computed with PBE.

Geometry as POSCAR:
```
Be3SnRh
1.0
4.406 0.000 0.000
0.000 4.406 0.000
0.000 0.000 4.406
Be Sn Rh
3 1 1
direct
0.000 0.000 0.500
0.000 0.500 0.000
0.500 0.000 0.000
0.000 0.000 0.000
0.500 0.500 0.500
```

Properties
Calculated volume = 17.1 Å³/atom
M_tot = 0.00 μB/cell


## ii
Crystalline Be3SnRh at its relaxed geometry, computed with PBE.

Geometry as POSCAR:
```
Be3SnRh
1.0
4.271 0.000 0.000
0.000 4.271 0.000
0.000 0.000 4.271
Be Sn Rh
3 1 1
direct
0.000 0.000 0.500
0.000 0.500 0.000
0.500 0.000 0.000
0.500 0.500 0.500
0.000 0.000 0.000
```

Properties
Calculated volume = 15.6 Å³/atom
M_tot = 0.00 μB/cell


The least stable of them is i.


## i
Crystalline BeSnRh3 at its relaxed geometry, computed with PBE.

Geometry as POSCAR:
```
BeSnRh3
1.0
4.188 0.000 0.000
0.000 4.188 0.000
0.000 0.000 4.188
Be Sn Rh
1 1 3
direct
0.000 0.000 0.000
0.500 0.500 0.500
0.000 0.000 0.500
0.000 0.500 0.000
0.500 0.000 0.000
```

Properties
Calculated volume = 14.7 Å³/atom
M_tot = 0.00 μB/cell


## ii
Crystalline BeSnRh3 at its relaxed geometry, computed with PBE.

Geometry as POSCAR:
```
BeSnRh3
1.0
4.810 0.000 0.000
0.000 4.810 0.000
0.000 0.000 4.810
Be Sn Rh
1 1 3
direct
0.000 0.000 0.000
0.500 0.500 0.500
0.000 0.500 0.500
0.500 0.000 0.500
0.500 0.500 0.000
```

Properties
Calculated volume = 22.3 Å³/atom
M_tot = 0.87 μB/cell


The least stable of them is ii.


## i
Crystalline SrBe2Rh at its relaxed geometry, computed with PBE.

Geometry as POSCAR:
```
SrBe2Rh
1.0
2.759 -3.729 0.000
2.759 3.729 0.000
0.000 0.000 3.078
Sr Be Rh
1 2 1
direct
0.000 0.000 0.000
0.000 0.500 0.500
0.500 0.000 0.500
0.500 0.500 0.000
```

Properties
Calculated volume = 15.8 Å³/atom
M_tot = 0.00 μB/cell


## ii
Crystalline SrBe2Rh at its relaxed geometry, computed with PBE.

Geometry as POSCAR:
```
SrBe2Rh
1.0
4.533 0.000 0.000
0.000 4.533 0.000
0.000 0.000 3.089
Sr Be Rh
1 2 1
direct
0.000 0.000 0.000
0.000 0.500 0.500
0.500 0.000 0.500
0.500 0.500 0.000
```

Properties
Calculated volume = 15.9 Å³/atom
M_tot = 0.00 μB/cell


## iii
Crystalline SrBe2Rh at its relaxed geometry, computed with PBE.

Geometry as POSCAR:
```
SrBe2Rh
1.0
-2.090 2.090 3.677
2.090 -2.090 3.677
2.090 2.090 -3.677
Sr Be Rh
1 2 1
direct
0.000 0.000 0.000
0.250 0.750 0.500
0.750 0.250 0.500
0.500 0.500 0.000
```

Properties
Calculated volume = 16.1 Å³/atom
M_tot = 0.00 μB/cell


## iv
Crystalline SrBe2Rh at its relaxed geometry, computed with PBE.

Geometry as POSCAR:
```
SrBe2Rh
1.0
-1.945 2.822 3.597
1.945 -2.822 3.597
1.945 2.822 -3.597
Sr Be Rh
1 2 1
direct
0.000 0.000 0.000
0.503 0.503 0.000
0.652 0.152 0.500
0.358 0.858 0.500
```

Properties
Calculated volume = 19.7 Å³/atom
M_tot = 0.00 μB/cell


The least stable of them is ii.


## i
Crystalline SrBeRh at its relaxed geometry, computed with PBE.

Geometry as POSCAR:
```
SrBeRh
1.0
3.925 0.000 0.000
-1.962 3.399 0.000
0.000 0.000 4.600
Sr Be Rh
1 1 1
direct
0.000 0.000 0.000
0.667 0.333 0.500
0.333 0.667 0.500
```

Properties
Calculated volume = 20.5 Å³/atom
M_tot = 0.00 μB/cell


## ii
Crystalline SrBeRh at its relaxed geometry, computed with PBE.

Geometry as POSCAR:
```
SrBeRh
1.0
0.000 3.218 3.218
3.218 0.000 3.218
3.218 3.218 0.000
Sr Be Rh
1 1 1
direct
0.000 0.000 0.000
0.500 0.500 0.500
0.250 0.250 0.250
```

Properties
Calculated volume = 22.2 Å³/atom
M_tot = 0.00 μB/cell


The least stable of them is ii.


## i
Crystalline SrBeRh at its relaxed geometry, computed with PBE.

Geometry as POSCAR:
```
SrBeRh
1.0
4.228 0.000 0.000
0.000 4.228 0.000
0.000 0.000 8.293
Sr Be Rh
2 2 2
direct
0.250 0.250 0.217
0.750 0.750 0.783
0.250 0.250 0.590
0.750 0.750 0.410
0.250 0.750 0.500
0.750 0.250 0.500
```

Properties
Calculated volume = 24.7 Å³/atom
M_tot = 0.00 μB/cell


## ii
Crystalline SrBeRh at its relaxed geometry, computed with PBE.

Geometry as POSCAR:
```
SrBeRh
1.0
0.000 3.324 3.324
3.324 0.000 3.324
3.324 3.324 0.000
Sr Be Rh
1 1 1
direct
0.000 0.000 0.000
0.250 0.250 0.250
0.750 0.750 0.750
```

Properties
Calculated volume = 24.5 Å³/atom
M_tot = 0.00 μB/cell


The least stable of them is ii.


## i
Crystalline TaBe2Rh at its relaxed geometry, computed with PBE.

Geometry as POSCAR:
```
TaBe2Rh
1.0
-2.079 2.079 2.953
2.079 -2.079 2.953
2.079 2.079 -2.953
Ta Be Rh
1 2 1
direct
0.000 0.000 0.000
0.250 0.750 0.500
0.500 0.500 0.000
0.750 0.250 0.500
```

Properties
Calculated volume = 12.8 Å³/atom
M_tot = 0.00 μB/cell


## ii
Crystalline TaBe2Rh at its relaxed geometry, computed with PBE.

Geometry as POSCAR:
```
TaBe2Rh
1.0
-1.445 2.048 4.133
1.445 -2.048 4.133
1.445 2.048 -4.133
Ta Be Rh
1 2 1
direct
0.000 0.000 0.000
0.269 0.769 0.500
0.466 0.466 0.000
0.718 0.218 0.500
```

Properties
Calculated volume = 12.2 Å³/atom
M_tot = 0.00 μB/cell


## iii
Crystalline TaBe2Rh at its relaxed geometry, computed with PBE.

Geometry as POSCAR:
```
TaBe2Rh
1.0
3.672 0.000 0.000
0.000 1.441 4.520
0.000 -1.441 4.520
Ta Be Rh
1 2 1
direct
0.000 0.000 0.000
0.000 0.727 0.727
0.500 0.605 0.605
0.500 0.316 0.316
```

Properties
Calculated volume = 12.0 Å³/atom
M_tot = 0.00 μB/cell


## iv
Crystalline TaBe2Rh at its relaxed geometry, computed with PBE.

Geometry as POSCAR:
```
TaBe2Rh
1.0
2.834 0.000 0.000
0.000 2.834 0.000
0.000 0.000 6.022
Ta Be Rh
1 2 1
direct
0.000 0.000 0.000
0.500 0.500 0.297
0.500 0.500 0.703
0.000 0.000 0.500
```

Properties
Calculated volume = 12.1 Å³/atom
M_tot = 0.00 μB/cell


The least stable of them is ii.


## i
Crystalline TaBe2Rh2 at its relaxed geometry, computed with PBE.

Geometry as POSCAR:
```
TaBe2Rh2
1.0
-1.594 1.594 6.528
1.594 -1.594 6.528
1.594 1.594 -6.528
Ta Be Rh
1 2 2
direct
0.000 0.000 0.000
0.250 0.750 0.500
0.750 0.250 0.500
0.387 0.387 0.000
0.613 0.613 0.000
```

Properties
Calculated volume = 13.3 Å³/atom
M_tot = 0.00 μB/cell


## ii
Crystalline TaBe2Rh2 at its relaxed geometry, computed with PBE.

Geometry as POSCAR:
```
TaBe2Rh2
1.0
6.778 0.000 0.000
0.000 6.778 0.000
0.000 0.000 2.809
Ta Be Rh
2 4 4
direct
0.000 0.000 0.000
0.500 0.500 0.000
0.149 0.351 0.500
0.351 0.851 0.500
0.649 0.149 0.500
0.851 0.649 0.500
0.146 0.646 0.000
0.354 0.146 0.000
0.646 0.854 0.000
0.854 0.354 0.000
```

Properties
Calculated volume = 12.9 Å³/atom
M_tot = 0.00 μB/cell


The least stable of them is i.


## i
Crystalline TaBeRh3 at its relaxed geometry, computed with PBE.

Geometry as POSCAR:
```
TaBeRh3
1.0
4.116 0.000 0.000
0.000 4.116 0.000
0.000 0.000 4.116
Ta Be Rh
1 1 3
direct
0.000 0.000 0.000
0.500 0.500 0.500
0.000 0.500 0.500
0.500 0.000 0.500
0.500 0.500 0.000
```

Properties
Calculated volume = 13.9 Å³/atom
M_tot = 0.00 μB/cell


## ii
Crystalline TaBeRh3 at its relaxed geometry, computed with PBE.

Geometry as POSCAR:
```
TaBeRh3
1.0
4.693 0.000 0.000
0.000 4.693 0.000
0.000 0.000 4.693
Ta Be Rh
1 1 3
direct
0.000 0.000 0.000
0.500 0.500 0.500
0.000 0.000 0.500
0.000 0.500 0.000
0.500 0.000 0.000
```

Properties
Calculated volume = 20.7 Å³/atom
M_tot = 0.00 μB/cell


The least stable of them is ii.


## i
Crystalline Ta3BeRh at its relaxed geometry, computed with PBE.

Geometry as POSCAR:
```
Ta3BeRh
1.0
4.358 0.000 0.000
0.000 4.358 0.000
0.000 0.000 4.358
Ta Be Rh
3 1 1
direct
0.000 0.000 0.500
0.000 0.500 0.000
0.500 0.000 0.000
0.000 0.000 0.000
0.500 0.500 0.500
```

Properties
Calculated volume = 16.6 Å³/atom
M_tot = 0.00 μB/cell


## ii
Crystalline Ta3BeRh at its relaxed geometry, computed with PBE.

Geometry as POSCAR:
```
Ta3BeRh
1.0
4.776 0.000 0.000
0.000 4.776 0.000
0.000 0.000 4.776
Ta Be Rh
3 1 1
direct
0.000 0.000 0.500
0.000 0.500 0.000
0.500 0.000 0.000
0.500 0.500 0.500
0.000 0.000 0.000
```

Properties
Calculated volume = 21.8 Å³/atom
M_tot = 0.00 μB/cell


The least stable of them is ii.


## i
Crystalline BeTcRh at its relaxed geometry, computed with PBE.

Geometry as POSCAR:
```
BeTcRh
1.0
4.122 0.000 0.000
1.428 4.346 0.000
1.984 1.287 4.156
Be Tc Rh
2 2 2
direct
0.201 0.293 0.416
0.799 0.707 0.584
0.123 0.751 0.906
0.877 0.249 0.094
0.418 0.792 0.287
0.582 0.208 0.713
```

Properties
Calculated volume = 12.4 Å³/atom
M_tot = 0.00 μB/cell


## ii
Crystalline BeTcRh at its relaxed geometry, computed with PBE.

Geometry as POSCAR:
```
BeTcRh
1.0
-1.379 1.379 4.781
1.379 -1.379 4.781
1.379 1.379 -4.781
Be Tc Rh
1 1 1
direct
0.000 0.000 0.000
0.337 0.337 0.000
0.643 0.643 0.000
```

Properties
Calculated volume = 12.1 Å³/atom
M_tot = 0.00 μB/cell


## iii
Crystalline BeTcRh at its relaxed geometry, computed with PBE.

Geometry as POSCAR:
```
BeTcRh
1.0
4.030 0.000 0.000
-2.015 3.490 0.000
0.000 0.000 2.677
Be Tc Rh
1 1 1
direct
0.000 0.000 0.000
0.667 0.333 0.498
0.333 0.667 0.998
```

Properties
Calculated volume = 12.6 Å³/atom
M_tot = 0.00 μB/cell


The least stable of them is iii.